Density functional theory data (PBE) for a relaxed CoCu2Bi crystal.

abc: 4.389 4.389 4.389
angles: 60.00 60.00 60.00
Fractional coordinates of all 4 atoms:
Co1 0.250 0.250 0.250
Cu1 0.750 0.750 0.750
Bi1 0.000 0.000 0.000
Cu2 0.500 0.500 0.500

Values from the calculation:
uncorrected energy: -17.09 eV per cell

Density functional theory data (PBE) for a relaxed GaCoCuBi crystal.

abc: 4.603 4.603 4.603
angles: 60.00 60.00 60.00
Fractional coordinates of all 4 atoms:
Ga1 0.250 0.250 0.250
Bi1 0.000 0.000 0.000
Co1 0.500 0.500 0.500
Cu1 0.750 0.750 0.750

Values from the calculation:
relative energy among the computed polymorphs: 196 meV/atom
uncorrected energy: -15.75 eV per cell

Density functional theory data (PBE) for a relaxed GaCoCuBi crystal.

abc: 4.540 4.540 4.540
angles: 60.00 60.00 60.00
Fractional coordinates of all 4 atoms:
Cu1 0.750 0.750 0.750
Bi1 0.500 0.500 0.500
Ga1 0.000 0.000 0.000
Co1 0.250 0.250 0.250

Values from the calculation:
relative energy among the computed polymorphs: 0 meV/atom
uncorrected energy: -16.54 eV per cell

Which formula does entry 1 have? CoCu2Bi